The following is a SCAN calculation of a crystal of MnTe2Mo relaxed with PBEsol, from the Alexandria database.

a = 5.736 Å, b = 5.736 Å, c = 5.736 Å
α = 139.89°, β = 139.89°, γ = 58.02°
Fractional coordinates of all 4 atoms:
Mn  0.000  0.000  0.000
Te  0.250  0.750  0.500
Te  0.500  0.500  0.000
Mo  0.750  0.250  0.500

Results
N(E_F) (states/eV/cell): 2.85
Energy relative to the elements, uncorrected (eV/atom): 0.415
Symmetry: No. 119
ρ (kg/m³): 8687

The following is a SCAN calculation of a crystal of ZrAl3Br relaxed with PBEsol, from the Alexandria database.

a = 4.834 Å, b = 4.834 Å, c = 4.834 Å
α = 90.00°, β = 90.00°, γ = 90.00°
Fractional coordinates of all 5 atoms:
Zr  0.000  0.000  0.000
Al  0.000  0.500  0.500
Al  0.500  0.000  0.500
Al  0.500  0.500  0.000
Br  0.500  0.500  0.500

Results
N(E_F) (states/eV/cell): 2.18
Energy relative to the elements, uncorrected (eV/atom): 0.858
Symmetry: No. 221
ρ (kg/m³): 3705

The following is a SCAN calculation of a crystal of La3CdRu relaxed with PBEsol, from the Alexandria database.

a = 5.401 Å, b = 5.401 Å, c = 5.401 Å
α = 90.00°, β = 90.00°, γ = 90.00°
Fractional coordinates of all 5 atoms:
La  0.000  0.000  0.500
La  0.000  0.500  0.000
La  0.500  0.000  0.000
Cd  0.500  0.500  0.500
Ru  0.000  0.000  0.000

Results
N(E_F) (states/eV/cell): 4.66
Energy relative to the elements (kcal/mol of atoms): -7.19
Symmetry: No. 221
ρ (kg/m³): 6642

The following is a SCAN calculation of a crystal of KCr2Co relaxed with PBEsol, from the Alexandria database.

a = 5.413 Å, b = 5.413 Å, c = 2.423 Å
α = 90.00°, β = 90.00°, γ = 126.82°
Fractional coordinates of all 4 atoms:
K  0.000  0.000  0.000
Cr  0.000  0.500  0.500
Cr  0.500  0.000  0.500
Co  0.500  0.500  0.000

Results
N(E_F) (states/eV/cell): 3.65
Energy relative to the elements (kcal/mol of atoms): 40.15
Symmetry: No. 65
Offset from the most stable computed form (meV/atom): 1039
ρ (kg/m³): 5903

The following is a SCAN calculation of a crystal of Sr2InAu relaxed with PBEsol, from the Alexandria database.

a = 3.809 Å, b = 3.809 Å, c = 8.014 Å
α = 90.00°, β = 90.00°, γ = 90.00°
Fractional coordinates of all 4 atoms:
Sr  0.000  0.000  0.230
Sr  0.000  0.000  0.770
In  0.500  0.500  0.500
Au  0.500  0.500  0.000

Results
N(E_F) (states/eV/cell): 3.05
Energy relative to the elements (kcal/mol of atoms): -16.52
Symmetry: No. 123
ρ (kg/m³): 6954

The following is a SCAN calculation of a crystal of LiCeHg2 relaxed with PBEsol, from the Alexandria database.

a = 5.046 Å, b = 5.046 Å, c = 5.046 Å
α = 60.00°, β = 60.00°, γ = 60.00°
Fractional coordinates of all 4 atoms:
Li  0.000  0.000  0.000
Ce  0.500  0.500  0.500
Hg  0.250  0.250  0.250
Hg  0.750  0.750  0.750

Results
N(E_F) (states/eV/cell): 4.55
Energy relative to the elements (kcal/mol of atoms): -12.27
Symmetry: No. 225
ρ (kg/m³): 10019

The following is a SCAN calculation of a crystal of AlZn2Hg relaxed with PBEsol, from the Alexandria database.

a = 4.546 Å, b = 4.546 Å, c = 5.086 Å
α = 99.55°, β = 99.55°, γ = 40.99°
Fractional coordinates of all 4 atoms:
Al  0.000  0.000  0.000
Zn  0.491  0.491  0.448
Zn  0.747  0.747  0.239
Hg  0.246  0.246  0.727

Results
N(E_F) (states/eV/cell): 1.17
Energy relative to the elements (kcal/mol of atoms): 1.33
Symmetry: No. 8
Offset from the most stable computed form (meV/atom): 0
ρ (kg/m³): 8769

The following is a SCAN calculation of a crystal of Pd2RuSeS relaxed with PBEsol, from the Alexandria database.

a = 4.516 Å, b = 4.516 Å, c = 4.757 Å
α = 90.00°, β = 90.00°, γ = 90.00°
Fractional coordinates of all 5 atoms:
Pd  0.000  0.500  0.000
Pd  0.500  0.000  0.000
Ru  0.000  0.000  0.500
Se  0.500  0.500  0.000
S  0.500  0.500  0.500

Results
N(E_F) (states/eV/cell): 3.46
Energy relative to the elements, uncorrected (eV/atom): 1.002
Symmetry: No. 123
ρ (kg/m³): 7274

The following is a SCAN calculation of a crystal of Y5Mg3 relaxed with PBEsol, from the Alexandria database.

a = 6.624 Å, b = 6.624 Å, c = 5.196 Å
α = 90.00°, β = 90.00°, γ = 102.86°
Fractional coordinates of all 8 atoms:
Y  0.000  0.000  0.000
Y  0.000  0.500  0.000
Y  0.273  0.273  0.500
Y  0.500  0.000  0.000
Y  0.727  0.727  0.500
Mg  0.235  0.765  0.500
Mg  0.500  0.500  0.000
Mg  0.765  0.235  0.500

Results
N(E_F) (states/eV/cell): 10.76
Energy relative to the elements (kcal/mol of atoms): -0.47
Symmetry: No. 65
ρ (kg/m³): 3866

The following is a SCAN calculation of a crystal of Tl2InFe relaxed with PBEsol, from the Alexandria database.

a = 7.169 Å, b = 7.169 Å, c = 7.169 Å
α = 156.12°, β = 142.86°, γ = 44.64°
Fractional coordinates of all 4 atoms:
Tl  0.000  0.000  0.000
Tl  0.685  0.185  0.500
In  0.362  0.362  0.000
Fe  0.188  0.688  0.500

Results
N(E_F) (states/eV/cell): 1.82
Energy relative to the elements (kcal/mol of atoms): 7.11
Symmetry: No. 44
Offset from the most stable computed form (meV/atom): 0
ρ (kg/m³): 10712

The following is a SCAN calculation of a crystal of SrAlPBr2 relaxed with PBEsol, from the Alexandria database.

a = 5.156 Å, b = 5.156 Å, c = 4.716 Å
α = 90.00°, β = 90.00°, γ = 90.00°
Fractional coordinates of all 5 atoms:
Sr  0.000  0.000  0.000
Al  0.500  0.500  0.500
P  0.500  0.500  0.000
Br  0.000  0.500  0.500
Br  0.500  0.000  0.500

Results
N(E_F) (states/eV/cell): 1.68
Energy relative to the elements, uncorrected (eV/atom): -0.927
Symmetry: No. 123
ρ (kg/m³): 4045

The following is a SCAN calculation of a crystal of ZrIn relaxed with PBEsol, from the Alexandria database.

a = 5.852 Å, b = 5.852 Å, c = 5.207 Å
α = 114.06°, β = 114.06°, γ = 32.42°
Fractional coordinates of all 4 atoms:
Zr  0.124  0.124  0.433
Zr  0.876  0.876  0.567
In  0.373  0.373  0.057
In  0.627  0.627  0.943

Results
N(E_F) (states/eV/cell): 2.10
Energy relative to the elements (kcal/mol of atoms): -8.00
Symmetry: No. 12
ρ (kg/m³): 7906

M_tot: 1.635, 0.000, 0.000, 1.349, 0.000, 1.132, 0.000, 2.836, 0.006, 2.556, 0.000, 0.000 (μB per cell)